A relaxed Ta2HgTe crystal. Source: Alexandria, functional GGA-PBE.

Cell lengths 5.594, 5.594, 5.594 Å; angles 144.15, 126.48, 66.10 degrees
Positions (direct):
Ta  0.493  0.493  0.000
Te  0.250  0.750  0.500
Ta  0.007  0.007  0.000
Hg  0.750  0.250  0.500

* V: 81.34 Å³/cell
* total moment: 0.00 μB per formula unit
* energy above the most stable polymorph in this dataset: 306 meV/atom